Below is a relaxed LiNdScPt crystal, with properties calculated at the PBE-GGA level.

Computed properties:
DFT formation energy = -0.57 eV/atom

Geometry as CIF:
```
data_LiNdScPt
_symmetry_space_group_name_H-M 'F -4 3 m'
_symmetry_Int_Tables_number 216
_symmetry_space_group_name_Hall 'F -4 2 3'
_cell_length_a 6.976
_cell_length_b 6.976
_cell_length_c 6.976
_cell_angle_alpha 90.00
_cell_angle_beta 90.00
_cell_angle_gamma 90.00
loop_
_atom_site_label
_atom_site_type_symbol
_atom_site_fract_x
_atom_site_fract_y
_atom_site_fract_z
Li1 Li 0.000 0.000 0.000
Nd1 Nd 0.250 0.250 0.750
Sc1 Sc 0.250 0.250 0.250
Pt1 Pt 0.000 0.000 0.500
```



Below is a relaxed LiNd2Si3Pt4 crystal, with properties calculated at the PBE-GGA level.

Computed properties:
energy relative to the elements, uncorrected = -24.68 kcal/mol of atoms

Geometry as CIF:
```
data_LiNd2Si3Pt4
_symmetry_space_group_name_H-M 'P -4 m 2'
_symmetry_Int_Tables_number 115
_cell_length_a 4.256
_cell_length_b 4.256
_cell_length_c 9.914
_cell_angle_alpha 90.00
_cell_angle_beta 90.00
_cell_angle_gamma 90.00
loop_
_symmetry_equiv_pos_as_xyz
'x,y,z'
'y,-x,-z'
'-x,-y,z'
'-y,x,-z'
'-x,y,z'
'-y,-x,-z'
'x,-y,z'
'y,x,-z'
loop_
_atom_site_label
_atom_site_type_symbol
_atom_site_fract_x
_atom_site_fract_y
_atom_site_fract_z
Li1 Li 0.000 0.000 0.000
Nd1 Nd 0.000 0.500 0.755
Si1 Si 0.000 0.500 0.368
Si2 Si 0.500 0.500 0.000
Pt1 Pt 0.000 0.000 0.500
Pt2 Pt 0.000 0.500 0.127
Pt3 Pt 0.500 0.500 0.500
```



Below is a relaxed LiNd3Si6Pt2 crystal, with properties calculated at the PBE-GGA level.

Computed properties:
energy relative to the elements, uncorrected = -10.44 kcal/mol of atoms

Geometry as CIF:
```
data_LiNd3Si6Pt2
_symmetry_space_group_name_H-M 'P -3 m 1'
_symmetry_Int_Tables_number 164
_symmetry_space_group_name_Hall '-P 3 2"'
_cell_length_a 5.8972
_cell_length_b 5.8972
_cell_length_c 8.0868
_cell_angle_alpha 90.00
_cell_angle_beta 90.00
_cell_angle_gamma 120.00
loop_
_atom_site_label
_atom_site_type_symbol
_atom_site_fract_x
_atom_site_fract_y
_atom_site_fract_z
Li1 Li 0.0000 0.0000 0.0000
Nd1 Nd 0.0000 0.0000 0.5000
Nd2 Nd 0.3333 0.6667 0.1354
Si1 Si 0.1960 0.3920 0.7884
Pt1 Pt 0.3333 0.6667 0.5372
```



Below is a relaxed LiNdSiPt2 crystal, with properties calculated at the PBE-GGA level.

Computed properties:
energy relative to the elements, uncorrected = -21.70 kcal/mol of atoms

Geometry as CIF:
```
data_LiNdSiPt2
_symmetry_space_group_name_H-M 'I -4 m 2'
_symmetry_Int_Tables_number 119
_symmetry_space_group_name_Hall 'I -4 -2'
_cell_length_a 4.140
_cell_length_b 4.140
_cell_length_c 10.644
_cell_angle_alpha 90.00
_cell_angle_beta 90.00
_cell_angle_gamma 90.00
loop_
_atom_site_label
_atom_site_type_symbol
_atom_site_fract_x
_atom_site_fract_y
_atom_site_fract_z
Li1 Li 0.000 0.000 0.000
Nd1 Nd 0.000 0.500 0.750
Si1 Si 0.000 0.000 0.500
Pt1 Pt 0.000 0.500 0.123
```



Below is a relaxed LiNd2SiPt6 crystal, with properties calculated at the PBE-GGA level.

Computed properties:
energy relative to the elements, uncorrected = -18.23 kcal/mol of atoms

Geometry as CIF:
```
data_LiNd2SiPt6
_symmetry_space_group_name_H-M 'R -3 m'
_symmetry_Int_Tables_number 166
_symmetry_space_group_name_Hall '-R 3 2"'
_cell_length_a 5.7218
_cell_length_b 5.7218
_cell_length_c 23.1960
_cell_angle_alpha 90.00
_cell_angle_beta 90.00
_cell_angle_gamma 120.00
loop_
_atom_site_label
_atom_site_type_symbol
_atom_site_fract_x
_atom_site_fract_y
_atom_site_fract_z
Li1 Li 0.0000 0.0000 0.0000
Nd1 Nd 0.0000 0.0000 0.2067
Si1 Si 0.0000 0.0000 0.5000
Pt1 Pt 0.0073 0.5037 0.7589
```



Below is a relaxed LiNd2Si3Pt12 crystal, with properties calculated at the PBE-GGA level.

Computed properties:
energy relative to the elements, uncorrected = -12.12 kcal/mol of atoms

Geometry as CIF:
```
data_LiNd2Si3Pt12
_symmetry_space_group_name_H-M 'R -3 m'
_symmetry_Int_Tables_number 166
_symmetry_space_group_name_Hall '-R 3 2"'
_cell_length_a 8.2556
_cell_length_b 8.2556
_cell_length_c 17.7684
_cell_angle_alpha 90.00
_cell_angle_beta 90.00
_cell_angle_gamma 120.00
loop_
_atom_site_label
_atom_site_type_symbol
_atom_site_fract_x
_atom_site_fract_y
_atom_site_fract_z
Li1 Li 0.0000 0.0000 0.0000
Nd1 Nd 0.0000 0.0000 0.3822
Si1 Si 0.0000 0.5000 0.5000
Pt1 Pt 0.0053 0.5026 0.6299
Pt2 Pt 0.0268 0.5134 0.8685
```



Number 1: density 7.7 g/cm³, total energy -0.3923 Ry/atom. Number 2: density 10.7 g/cm³, total energy -0.4600 Ry/atom. Number 3: density 6.8 g/cm³, total energy -0.4059 Ry/atom. Number 4: density 10.4 g/cm³, total energy -0.4247 Ry/atom. Number 5: density 11.3 g/cm³, total energy -0.4485 Ry/atom. Number 6: density 12.9 g/cm³, total energy -0.4478 Ry/atom.